No. 1
A plane-wave DFT calculation with PBE was carried out for a relaxed MgAgPbAu crystal.

Space-group type ... No. 216

Lattice parameters (Å, degrees): 4.9517 4.9517 4.9517 60.00 60.00 60.00
Sites, in units of the cell vectors:
1 Mg 0.5000 0.5000 0.5000
2 Pb 0.0000 0.0000 0.0000
3 Au 0.7500 0.7500 0.7500
4 Ag 0.2500 0.2500 0.2500

=====

No. 2
A plane-wave DFT calculation with PBE was carried out for a relaxed Mg2AgPbAu4 crystal.

Space-group type ... No. 166

Lattice parameters (Å, degrees): 4.6907 4.6907 8.7488 74.45 74.45 60.00
Sites, in units of the cell vectors:
1 Au 0.8729 0.8729 0.3814
2 Au 0.1271 0.1271 0.6186
3 Au 0.6139 0.6139 0.1584
4 Au 0.3861 0.3861 0.8416
5 Ag 0.5000 0.5000 0.5000
6 Mg 0.2409 0.2409 0.2773
7 Mg 0.7591 0.7591 0.7227
8 Pb 0.0000 0.0000 0.0000

=====

No. 3
A plane-wave DFT calculation with PBE was carried out for a relaxed MgAgPdAu2 crystal.

Space-group type ... No. 63

Lattice parameters (Å, degrees): 4.0962 6.0395 8.2719 90.00 90.00 109.82
Sites, in units of the cell vectors:
1 Au 0.1660 0.3321 0.0117
2 Au 0.8340 0.6679 0.5117
3 Au 0.8340 0.6679 0.9883
4 Au 0.1660 0.3321 0.4883
5 Pd 0.5000 0.0000 0.5000
6 Pd 0.5000 0.0000 0.0000
7 Ag 0.3273 0.6545 0.7500
8 Ag 0.6727 0.3455 0.2500
9 Mg 0.0188 0.0377 0.7500
10 Mg 0.9812 0.9623 0.2500

=====

No. 4
A plane-wave DFT calculation with PBE was carried out for a relaxed Mg4Ag2PdAu crystal.

Space-group type ... No. 166

Lattice parameters (Å, degrees): 4.6528 4.6528 8.0169 73.13 73.13 60.00
Sites, in units of the cell vectors:
1 Au 0.5000 0.5000 0.5000
2 Mg 0.3740 0.3740 0.8780
3 Mg 0.6260 0.6260 0.1220
4 Mg 0.1235 0.1235 0.6295
5 Mg 0.8765 0.8765 0.3705
6 Pd 0.0000 0.0000 0.0000
7 Ag 0.7479 0.7479 0.7563
8 Ag 0.2521 0.2521 0.2437

=====

In the order shown, the computed final energy values come out to -11.9, -25.2, -17.5, -24.2 eV per formula unit.
In the order shown, the computed formation enthalpy at 0 K values come out to -0.4, -2.3, -1.3, -3.7 eV/f.u..
In the order shown, the computed magnetic moment values come out to 0.0, 0.0, 0.0, 0.0 μB/cell.